An optimized crystal structure of CaMnAsPd2. Source: the Alexandria database, functional PBE-GGA.

Output
- space group = P4/mmm (123)
- relative energy among the computed polymorphs (eV per atom) = 0.4384
- N(E_F) (states/eV per atom) = 1.37
- crystal system = tetragonal
- total energy (eV/cell) = -22.94

Structure (extended XYZ):
```
5
Lattice="4.532 0.000 0.000 0.000 4.532 0.000 0.000 0.000 5.235" Properties=species:S:1:pos:R:3 pbc="T T T"
Ca 0.000 0.000 0.000
Mn 0.000 0.000 2.617
As 2.266 2.266 0.000
Pd 0.000 2.266 2.617
Pd 2.266 0.000 2.617
```